A plane-wave DFT calculation with PBE was carried out for a relaxed structure of TbPm3SmTh.

The value obtained for the total energy is -30.84 eV/f.u. The formation energy comes out at 0.03 eV/atom. The mass density comes out at 8.0 Mg/m³.

```
data_TbPm3SmTh
_chemical_formula_sum 'Tb2 Pm6 Sm2 Th2'
_space_group_name_H-M_alt 'P 1 21/m 1'
_space_group_IT_number 11
_space_group_name_Hall '-P 2yb'
_cell_length_a 8.098
_cell_length_b 5.122
_cell_length_c 10.248
_cell_angle_alpha 90.00
_cell_angle_beta 108.42
_cell_angle_gamma 90.00
loop_
_atom_site_label
_atom_site_type_symbol
_atom_site_fract_x
_atom_site_fract_y
_atom_site_fract_z
Tb1 Tb 0.001 0.250 0.128
Pm1 Pm 0.322 0.250 0.456
Pm2 Pm 0.322 0.750 0.705
Pm3 Pm 0.328 0.250 0.956
Sm1 Sm 0.329 0.750 0.208
Th1 Th 0.000 0.250 0.622
```

---

A plane-wave DFT calculation with PBE was carried out for a relaxed structure of TbPm3Sm6Th2.

The value obtained for the total energy is -61.69 eV/f.u. The formation energy comes out at 0.03 eV/atom. The mass density comes out at 8.1 Mg/m³.

```
data_TbPm3Sm6Th2
_chemical_formula_sum 'Tb2 Pm6 Sm12 Th4'
_space_group_name_H-M_alt 'C 1 2/m 1'
_space_group_IT_number 12
_space_group_name_Hall '-C 2y'
_cell_length_a 6.271
_cell_length_b 10.845
_cell_length_c 12.019
_cell_angle_alpha 90.00
_cell_angle_beta 100.02
_cell_angle_gamma 90.00
loop_
_atom_site_label
_atom_site_type_symbol
_atom_site_fract_x
_atom_site_fract_y
_atom_site_fract_z
Tb1 Tb 0.000 0.000 0.000
Pm1 Pm 0.000 0.167 0.500
Pm2 Pm 0.000 0.500 0.500
Sm1 Sm 0.244 0.500 0.246
Sm2 Sm 0.250 0.169 0.245
Th1 Th 0.000 0.333 0.000
```

---

A plane-wave DFT calculation with PBE was carried out for a relaxed structure of Tb2PmSm4Th.

The value obtained for the total energy is -40.08 eV/f.u. The formation energy comes out at 0.03 eV/atom. The mass density comes out at 8.1 Mg/m³.

```
data_Tb2PmSm4Th
_chemical_formula_sum 'Tb2 Pm1 Sm4 Th1'
_space_group_name_H-M_alt 'P 4/m m m'
_space_group_IT_number 123
_space_group_name_Hall '-P 4 2'
_cell_length_a 5.099
_cell_length_b 5.099
_cell_length_c 10.228
_cell_angle_alpha 90.00
_cell_angle_beta 90.00
_cell_angle_gamma 90.00
loop_
_atom_site_label
_atom_site_type_symbol
_atom_site_fract_x
_atom_site_fract_y
_atom_site_fract_z
Tb1 Tb 0.000 0.000 0.000
Tb2 Tb 0.500 0.500 0.500
Pm1 Pm 0.000 0.000 0.500
Sm1 Sm 0.000 0.500 0.246
Th1 Th 0.500 0.500 0.000
```